(1)
A plane-wave DFT calculation with PBE was carried out for a relaxed Y2HoPa2Ru5 crystal.

Geometry as POSCAR:
```
Y2HoPa2Ru5
1.0
-3.272 -1.469 -0.811
4.062 -4.135 -8.896
2.642 -8.812 5.302
Y Ho Pa Ru
4 2 4 10
direct
0.000 0.673 0.173 Y
0.000 0.327 0.827 Y
0.000 0.173 0.327 Y
0.000 0.827 0.673 Y
0.000 0.000 0.000 Ho
0.000 0.500 0.500 Ho
0.000 0.134 0.634 Pa
0.000 0.866 0.366 Pa
0.000 0.634 0.866 Pa
0.000 0.366 0.134 Pa
0.500 0.208 0.055 Ru
0.500 0.792 0.945 Ru
0.500 0.055 0.792 Ru
0.500 0.708 0.445 Ru
0.500 0.945 0.208 Ru
0.500 0.292 0.555 Ru
0.500 0.555 0.708 Ru
0.500 0.445 0.292 Ru
0.500 0.500 0.000 Ru
0.500 0.000 0.500 Ru
```

## Properties
* V: 20.73 Å³ per atom
* formation enthalpy at 0 K: -320 meV/atom
* space group: P4/mbm (127)

---

(2)
A plane-wave DFT calculation with PBE was carried out for a relaxed HoPa2S6 crystal.

Geometry as POSCAR:
```
HoPa2S6
1.0
6.846 0.000 -0.714
0.000 6.260 0.000
1.181 0.000 11.414
Ho Pa S
2 4 12
direct
0.500 0.500 0.000 Ho
0.000 0.000 0.500 Ho
0.000 0.499 0.821 Pa
0.500 0.999 0.679 Pa
0.500 0.001 0.321 Pa
0.000 0.501 0.179 Pa
0.821 0.758 0.333 S
0.821 0.756 0.666 S
0.842 0.714 0.000 S
0.658 0.214 0.500 S
0.679 0.256 0.834 S
0.679 0.258 0.167 S
0.179 0.242 0.667 S
0.179 0.244 0.334 S
0.158 0.286 0.000 S
0.342 0.786 0.500 S
0.321 0.744 0.166 S
0.321 0.742 0.833 S
```

## Properties
* energy above the lowest structure with this stoichiometry: 0 meV per atom
* V: 27.47 Å³ per atom
* space group: P2_1/c (14)
* energy relative to the elements, uncorrected: -1.6616 eV/atom

---

(3)
A plane-wave DFT calculation with PBE was carried out for a relaxed HoPaS4 crystal.

Geometry as POSCAR:
```
HoPaS4
1.0
-2.103 -0.068 3.565
0.037 -6.247 -0.098
5.380 0.100 3.175
Ho Pa S
1 1 4
direct
0.500 0.000 0.000 Ho
0.000 0.500 0.500 Pa
0.000 0.201 0.201 S
0.000 0.799 0.799 S
0.500 0.689 0.311 S
0.500 0.311 0.689 S
```

## Properties
* energy above the lowest structure with this stoichiometry: 60 meV per atom
* V: 26.93 Å³ per atom
* space group: Cmmm (65)
* energy relative to the elements, uncorrected: -1.6978 eV/atom

---

(4)
A plane-wave DFT calculation with PBE was carried out for a relaxed Ho2PaS4 crystal.

Geometry as POSCAR:
```
Ho2PaS4
1.0
-1.370 -1.533 3.202
3.905 -4.701 -2.841
10.121 4.491 6.482
Ho Pa S
4 2 8
direct
0.135 0.270 0.434 Ho
0.865 0.730 0.934 Ho
0.135 0.270 0.066 Ho
0.865 0.730 0.566 Ho
0.622 0.245 0.750 Pa
0.378 0.755 0.250 Pa
0.773 0.546 0.126 S
0.773 0.546 0.374 S
0.227 0.454 0.874 S
0.227 0.454 0.626 S
0.968 0.936 0.750 S
0.032 0.064 0.250 S
0.500 0.000 0.000 S
0.500 0.000 0.500 S
```

## Properties
* V: 22.55 Å³ per atom
* space group: Cmcm (63)
* energy relative to the elements, uncorrected: -1.8363 eV/atom

---

(5)
A plane-wave DFT calculation with PBE was carried out for a relaxed Ho6PaS8 crystal.

Geometry as POSCAR:
```
Ho6PaS8
1.0
-3.233 -1.239 6.939
4.431 -2.015 6.037
1.190 5.026 5.785
Ho Pa S
6 1 8
direct
0.000 0.500 0.500 Ho
0.500 0.000 0.000 Ho
0.500 0.500 0.000 Ho
0.000 0.000 0.500 Ho
0.000 0.500 0.000 Ho
0.500 0.000 0.500 Ho
0.000 0.000 0.000 Pa
0.750 0.750 0.750 S
0.250 0.250 0.250 S
0.746 0.254 0.254 S
0.254 0.746 0.746 S
0.254 0.254 0.746 S
0.746 0.746 0.254 S
0.746 0.254 0.746 S
0.254 0.746 0.254 S
```

## Properties
* V: 21.99 Å³ per atom
* space group: Fm-3m (225)
* energy relative to the elements, uncorrected: -1.9266 eV/atom

---

(6)
A plane-wave DFT calculation with PBE was carried out for a relaxed Ho4PaS5 crystal.

Geometry as POSCAR:
```
Ho4PaS5
1.0
3.783 0.000 -0.730
-0.283 5.285 -1.467
0.037 0.025 10.362
Ho Pa S
4 1 5
direct
0.402 0.402 0.803 Ho
0.804 0.804 0.607 Ho
0.196 0.196 0.393 Ho
0.598 0.598 0.197 Ho
0.000 0.000 0.000 Pa
0.601 0.101 0.202 S
0.799 0.299 0.598 S
0.201 0.701 0.402 S
0.000 0.500 0.000 S
0.399 0.899 0.798 S
```

## Properties
* V: 20.75 Å³ per atom
* space group: Immm (71)
* energy relative to the elements, uncorrected: -1.9001 eV/atom

---

Number 1: total moment 0.000 μB/cell. Number 2: total moment 2.257 μB/cell. Number 3: total moment 0.000 μB/cell. Number 4: total moment 2.542 μB/cell. Number 5: total moment 1.250 μB/cell. Number 6: total moment 0.000 μB/cell.